Entry 1:
LaCe6Ga2 | Alexandria | PBE | optimized geometry; total DFT energy (no corrections) = -5.283 eV/atom; formation energy = -10 kJ/mol of atoms; V = 25.04 A^3/atom
1.0
-0.3713 -1.9488 -2.5075
8.0447 -4.3929 0.1843
0.8678 -8.1284 4.1502
Ce La Ga
6 1 2
direct
0.3306 0.9757 0.3630
0.6694 0.6370 0.0243
0.5000 0.3351 0.6649
0.6694 0.0243 0.6370
0.3306 0.3630 0.9757
0.5000 0.6649 0.3351
0.0000 0.0000 0.0000
0.8450 0.6550 0.6550
0.1550 0.3450 0.3450


Entry 2:
LaCeGa | Alexandria | PBE | optimized geometry; total DFT energy (no corrections) = -5.024 eV/atom; formation energy = -38 kJ/mol of atoms; V = 28.07 A^3/atom
1.0
-0.0705 -1.7878 -3.9599
1.8673 -3.7746 1.6709
-7.8586 -3.0292 1.5075
Ce Ga La
2 2 2
direct
0.2500 0.8028 0.9887
0.7500 0.1972 0.0113
0.2500 0.2733 0.7452
0.7500 0.7267 0.2548
0.7500 0.7559 0.6300
0.2500 0.2441 0.3700


Entry 3:
La3CeGa4 | Alexandria | PBE | optimized geometry; total DFT energy (no corrections) = -4.639 eV/atom; formation energy = -52 kJ/mol of atoms; V = 26.14 A^3/atom
1.0
3.7404 0.0000 0.0000
0.0000 3.7404 0.0000
0.0000 0.0000 14.9468
La Ga Ce
3 4 1
direct
0.5000 0.5000 0.7535
0.5000 0.5000 0.5000
0.5000 0.5000 0.2465
0.0000 0.0000 0.8813
0.0000 0.0000 0.3728
0.0000 0.0000 0.6272
0.0000 0.0000 0.1187
0.5000 0.5000 0.0000


Entry 4:
LaCeGa | Alexandria | PBE | optimized geometry; total DFT energy (no corrections) = -4.917 eV/atom; formation energy = -28 kJ/mol of atoms; V = 26.55 A^3/atom
1.0
-3.2262 -2.0949 1.1562
-0.5806 -1.1976 -3.7898
4.7562 -2.3001 2.1268
Ce La Ga
1 1 1
direct
0.3176 0.3176 0.6352
0.0121 0.0121 0.0242
0.6703 0.6703 0.3406


Entry 5:
LaCe2Ga | Alexandria | PBE | optimized geometry; total DFT energy (no corrections) = -5.209 eV/atom; formation energy = -24 kJ/mol of atoms; V = 27.05 A^3/atom
1.0
-0.8818 -1.8138 5.0476
6.1522 -0.1598 -1.9094
0.9162 6.3021 2.4247
Ce La Ga
4 2 2
direct
0.6129 0.2258 0.4611
0.3871 0.7742 0.5389
0.6129 0.2258 0.0389
0.3871 0.7742 0.9611
0.0843 0.1687 0.7500
0.9157 0.8313 0.2500
0.8168 0.6336 0.7500
0.1832 0.3664 0.2500


Entry 6:
LaCeGa4 | Alexandria | PBE | optimized geometry; total DFT energy (no corrections) = -4.375 eV/atom; formation energy = -53 kJ/mol of atoms; V = 21.24 A^3/atom
1.0
5.6483 0.0000 0.0000
2.8242 4.8916 0.0000
2.8242 1.6305 4.6118
Ce La Ga
1 1 4
direct
0.0000 0.0000 0.0000
0.2500 0.2500 0.2500
0.6254 0.6254 0.6254
0.6254 0.1237 0.6254
0.1237 0.6254 0.6254
0.6254 0.6254 0.1237


Entry 7:
LaCe2Ga3 | Alexandria | PBE | optimized geometry; total DFT energy (no corrections) = -4.798 eV/atom; formation energy = -47 kJ/mol of atoms; V = 24.65 A^3/atom
1.0
-1.4113 -1.7257 -3.0884
-2.8556 -1.4073 2.0912
-5.5896 8.2704 -2.0670
Ga La Ce
3 1 2
direct
0.0000 0.0000 0.6865
0.0000 0.0000 0.3135
0.0000 0.0000 0.0000
0.5000 0.5000 0.5000
0.5000 0.5000 0.1433
0.5000 0.5000 0.8567


Entry 8:
LaCeGaNi | Alexandria | PBE | optimized geometry; total DFT energy (no corrections) = -5.202 eV/atom; formation energy = -27 kJ/mol of atoms; V = 23.63 A^3/atom
1.0
-3.8645 -3.2394 -0.8461
0.6027 -4.9939 0.9174
-2.4144 -2.1847 3.9423
Ga La Ni Ce
1 1 1 1
direct
0.7500 0.7500 0.7500
0.5000 0.5000 0.5000
0.2500 0.2500 0.2500
0.0000 0.0000 0.0000


What is the total DFT energy (no corrections) in the second record? -5.024 eV/atom